The following is a PBE-GGA calculation of an optimized crystal structure of Sm4Y2HoMg, from Alexandria.

- DFT formation energy (eV per atom) = 0.065
- Fermi-level density of states (states/eV per atom) = 1.434
- magnetic moment (Bohr magnetons per cell) = 0.0
- energy (eV per atom) = -4.682

abc: 5.722 5.721 9.665
angles: 53.71 90.00 90.00
Fractional coordinates of all 8 atoms:
1 Sm 0.500 0.760 0.239
2 Sm 0.000 0.261 0.239
3 Sm 0.500 0.240 0.761
4 Sm 0.000 0.739 0.761
5 Ho 0.000 0.500 0.500
6 Y 0.000 0.000 0.000
7 Y 0.500 0.000 0.500
8 Mg 0.500 0.500 0.000

The following is a PBE-GGA calculation of an optimized crystal structure of Sm6Y3Ho2Mg, from Alexandria.

- DFT formation energy (eV per atom) = 0.024
- Fermi-level density of states (states/eV per atom) = 1.141
- magnetic moment (Bohr magnetons per cell) = 0.0
- energy (eV per atom) = -4.848

abc: 6.203 6.203 11.739
angles: 95.07 95.07 120.02
Fractional coordinates of all 12 atoms:
1 Ho 0.667 0.333 0.000
2 Ho 0.333 0.667 0.000
3 Sm 0.750 0.750 0.248
4 Sm 0.584 0.917 0.753
5 Sm 0.917 0.584 0.753
6 Sm 0.250 0.250 0.752
7 Sm 0.083 0.416 0.247
8 Sm 0.416 0.083 0.247
9 Y 0.500 0.500 0.500
10 Y 0.166 0.834 0.500
11 Y 0.834 0.166 0.500
12 Mg 0.000 0.000 0.000

The following is a PBE-GGA calculation of an optimized crystal structure of Sm2Y3Ho6Mg, from Alexandria.

- DFT formation energy (eV per atom) = 0.027
- Fermi-level density of states (states/eV per atom) = 1.466
- magnetic moment (Bohr magnetons per cell) = 0.0
- energy (eV per atom) = -4.797

abc: 6.119 6.119 11.719
angles: 95.02 95.02 120.04
Fractional coordinates of all 12 atoms:
1 Ho 0.750 0.750 0.250
2 Ho 0.585 0.917 0.751
3 Ho 0.415 0.083 0.249
4 Ho 0.083 0.415 0.249
5 Ho 0.250 0.250 0.750
6 Ho 0.917 0.585 0.751
7 Y 0.834 0.166 0.500
8 Y 0.166 0.834 0.500
9 Y 0.500 0.500 0.500
10 Sm 0.666 0.334 0.000
11 Sm 0.334 0.666 0.000
12 Mg 0.000 0.000 0.000

Please write out number 1 again, unchanged.
The following is a PBE-GGA calculation of an optimized crystal structure of Sm4Y2HoMg, from Alexandria.

- DFT formation energy (eV per atom) = 0.065
- Fermi-level density of states (states/eV per atom) = 1.434
- magnetic moment (Bohr magnetons per cell) = 0.0
- energy (eV per atom) = -4.682

abc: 5.722 5.721 9.665
angles: 53.71 90.00 90.00
Fractional coordinates of all 8 atoms:
1 Sm 0.500 0.760 0.239
2 Sm 0.000 0.261 0.239
3 Sm 0.500 0.240 0.761
4 Sm 0.000 0.739 0.761
5 Ho 0.000 0.500 0.500
6 Y 0.000 0.000 0.000
7 Y 0.500 0.000 0.500
8 Mg 0.500 0.500 0.000

What is the magnetic moment in the third record? 0.0 Bohr magnetons per cell